[1]
A relaxed structure of YCoBr2. Source: Alexandria, functional GGA-PBEsol.

Properties
The total energy comes out at -19.71 eV/f.u. As for the spin magnetization: 1.5 μB per formula unit. Its space group is R-3m.

Cell and atoms, written as POSCAR:
```
YCoBr2
1.0
3.5206 0.0000 0.0000
-1.7603 3.0489 0.0000
0.0000 0.0000 25.8056
Y Co Br
3 3 6
direct
0.0000 0.0000 0.0000
0.3333 0.6667 0.6667
0.6667 0.3333 0.3333
0.0000 0.0000 0.5000
0.3333 0.6667 0.1667
0.6667 0.3333 0.8333
0.0000 0.0000 0.4113
0.0000 0.0000 0.5887
0.3333 0.6667 0.0780
0.3333 0.6667 0.2554
0.6667 0.3333 0.7446
0.6667 0.3333 0.9220
```

***

[2]
A relaxed structure of RbAgO2. Source: Alexandria, functional GGA-PBEsol.

Properties
The total energy comes out at -15.61 eV/f.u. As for the spin magnetization: 2.0 μB per formula unit. Its space group is R-3m.

Cell and atoms, written as POSCAR:
```
RbAgO2
1.0
4.2082 0.0000 0.0000
-2.1041 3.6444 0.0000
0.0000 0.0000 19.8977
Rb Ag O
3 3 6
direct
0.0000 0.0000 0.0000
0.3333 0.6667 0.6667
0.6667 0.3333 0.3333
0.0000 0.0000 0.5000
0.3333 0.6667 0.1667
0.6667 0.3333 0.8333
0.0000 0.0000 0.4066
0.0000 0.0000 0.5934
0.3333 0.6667 0.0733
0.3333 0.6667 0.2601
0.6667 0.3333 0.7399
0.6667 0.3333 0.9267
```

***

[3]
A relaxed structure of HfNb3Ni. Source: Alexandria, functional GGA-PBEsol.

Properties
The total energy comes out at -45.48 eV/f.u. For the formation energy, the calculation gives 0.73 eV/atom. As for the spin magnetization: 0.0 μB per formula unit. Its space group is Pm-3m.

Cell and atoms, written as POSCAR:
```
HfNb3Ni
1.0
4.6089 0.0000 0.0000
0.0000 4.6089 0.0000
0.0000 0.0000 4.6089
Hf Nb Ni
1 3 1
direct
0.0000 0.0000 0.0000
0.0000 0.5000 0.5000
0.5000 0.0000 0.5000
0.5000 0.5000 0.0000
0.5000 0.5000 0.5000
```